Below is a geometry-optimized CaZrCr2Sn structure, with properties calculated at the GGA-PBE level.

Geometry as CIF:
```
data_CaZrCr2Sn
_symmetry_space_group_name_H-M 'P 4/m m m'
_symmetry_Int_Tables_number 123
_symmetry_space_group_name_Hall '-P 4 2'
_cell_length_a 4.3964
_cell_length_b 4.3964
_cell_length_c 5.2135
_cell_angle_alpha 90.00
_cell_angle_beta 90.00
_cell_angle_gamma 90.00
loop_
_atom_site_label
_atom_site_type_symbol
_atom_site_fract_x
_atom_site_fract_y
_atom_site_fract_z
_atom_site_occupancy
Ca1 Ca 0.0000 0.0000 0.0000 1
Zr1 Zr 0.0000 0.0000 0.5000 1
Cr1 Cr 0.0000 0.5000 0.0000 1
Sn1 Sn 0.5000 0.5000 0.5000 1
```

***

Below is a geometry-optimized Sr3CaCr structure, with properties calculated at the GGA-PBE level.

Geometry as CIF:
```
data_Sr3CaCr
_symmetry_space_group_name_H-M 'P m -3 m'
_symmetry_Int_Tables_number 221
_symmetry_space_group_name_Hall '-P 4 2 3'
_cell_length_a 6.2883
_cell_length_b 6.2883
_cell_length_c 6.2883
_cell_angle_alpha 90.00
_cell_angle_beta 90.00
_cell_angle_gamma 90.00
loop_
_atom_site_label
_atom_site_type_symbol
_atom_site_fract_x
_atom_site_fract_y
_atom_site_fract_z
_atom_site_occupancy
Sr1 Sr 0.0000 0.0000 0.5000 1
Ca1 Ca 0.5000 0.5000 0.5000 1
Cr1 Cr 0.0000 0.0000 0.0000 1
```

***

Below is a geometry-optimized SrCaCr2 structure, with properties calculated at the GGA-PBE level.

Geometry as CIF:
```
data_SrCaCr2
_symmetry_space_group_name_H-M 'P 4 m m'
_symmetry_Int_Tables_number 99
_symmetry_space_group_name_Hall 'P 4 -2'
_cell_length_a 3.4681
_cell_length_b 3.4681
_cell_length_c 8.9073
_cell_angle_alpha 90.00
_cell_angle_beta 90.00
_cell_angle_gamma 90.00
loop_
_atom_site_label
_atom_site_type_symbol
_atom_site_fract_x
_atom_site_fract_y
_atom_site_fract_z
_atom_site_occupancy
Sr1 Sr 0.0000 0.0000 0.0000 1
Ca1 Ca 0.5000 0.5000 0.3775 1
Cr1 Cr 0.0000 0.0000 0.6324 1
Cr2 Cr 0.5000 0.5000 0.7228 1
```

***

Below is a geometry-optimized SrCaCr2 structure, with properties calculated at the GGA-PBE level.

Geometry as CIF:
```
data_SrCaCr2
_symmetry_space_group_name_H-M 'I m m 2'
_symmetry_Int_Tables_number 44
_symmetry_space_group_name_Hall 'I 2 -2'
_cell_length_a 3.8701
_cell_length_b 5.5763
_cell_length_c 10.1295
_cell_angle_alpha 90.00
_cell_angle_beta 90.00
_cell_angle_gamma 90.00
loop_
_atom_site_label
_atom_site_type_symbol
_atom_site_fract_x
_atom_site_fract_y
_atom_site_fract_z
_atom_site_occupancy
Sr1 Sr 0.0000 0.0000 0.0000 1
Ca1 Ca 0.0000 0.5000 0.8009 1
Cr1 Cr 0.0000 0.0000 0.5851 1
Cr2 Cr 0.0000 0.5000 0.2217 1
```

***

Number 1: formation energy 1.95 eV/atom. Number 2: formation energy 0.48 eV/atom. Number 3: formation energy 0.50 eV/atom. Number 4: formation energy 0.54 eV/atom.